# 1
A geometry-optimized Dy3VH3O8 structure. Source: Alexandria, functional GGA+U.

extended XYZ file:
```
30
Lattice="-7.209 0.997 -7.578 -2.805 -4.415 2.088 -3.834 2.294 3.949" Properties=species:S:1:pos:R:3 pbc="T T T"
Dy -5.905 -0.179 -2.187
Dy -4.831 -1.375 3.918
Dy -7.943 -0.945 0.646
Dy -9.017 0.252 -5.458
Dy -8.993 1.591 -2.160
Dy -4.855 -2.715 0.620
V -9.375 -1.721 -2.233
V -4.474 0.598 0.693
H -7.194 1.811 0.587
H -9.478 -2.544 -5.097
H -6.654 -2.935 -2.128
H -4.370 1.421 3.556
H -6.635 0.318 -4.571
H -7.213 -1.442 3.031
O -9.519 -2.403 -0.377
O -2.539 1.032 0.718
O -4.329 1.279 -1.163
O -11.309 -2.155 -2.259
O -8.105 -0.445 -1.533
O -4.021 -0.917 1.803
O -5.743 -0.678 -0.008
O -9.828 -0.207 -3.344
O -8.079 1.466 0.351
O -2.406 -3.055 1.643
O -5.769 -2.590 -1.892
O -11.442 1.931 -3.184
O -8.531 -2.905 -3.192
O -5.318 1.781 1.651
O -6.955 -0.603 -4.388
O -6.893 -0.521 2.847
```

Summary:
SG = P2_1/m (11)
total magnetic moment = 1.00 μB/f.u.
energy = -7.2497 eV/atom
crystal system = monoclinic

---

# 2
A geometry-optimized FePO4F structure. Source: Alexandria, functional GGA+U.

extended XYZ file:
```
14
Lattice="-5.286 -0.758 -0.517 1.064 -0.901 -5.182 2.903 -5.544 4.094" Properties=species:S:1:pos:R:3 pbc="T T T"
Fe 0.000 0.000 0.000
Fe -0.660 -3.601 -0.803
P -3.413 -2.601 -2.531
P 2.094 -4.602 0.925
O 2.437 -5.756 -0.040
O 1.989 -5.119 2.371
O -2.145 -4.229 0.343
O 0.691 -4.062 0.592
O -3.309 -2.083 -3.977
O 0.825 -2.973 -1.950
O -2.011 -3.141 -2.198
O -3.757 -1.447 -1.566
F -0.496 -5.408 -1.582
F -0.823 -1.794 -0.025
```

Summary:
relative energy among the computed polymorphs = 0 meV/atom
SG = P-1 (2)
total magnetic moment = 3.97 μB/f.u.
energy = -6.4913 eV/atom
crystal system = triclinic